1.
First-principles (PBE-GGA) data for a relaxed structure of Th2Sn2Ru2C, as listed in Alexandria.

The space group is C2/m (No. 12) and the conventional cell measures 11.8377, 4.2720 and 7.5632 Å, with angles of 90.00, 127.96 and 90.00 degrees. The distinct sites, in fractional coordinates, are Th at (0.0406, 0.0000, 0.2661), Sn at (0.1665, 0.5000, 0.6885), Ru at (0.1801, 0.5000, 0.0604) and C at (0.0000, 0.5000, 0.0000).

The calculated formation energy is -0.461 eV/atom.

2.
First-principles (PBE-GGA) data for a relaxed structure of Th2SnRuC, as listed in Alexandria.

The space group is P2_1/m (No. 11) and the conventional cell measures 7.4382, 3.8449 and 8.5883 Å, with angles of 90.00, 110.79 and 90.00 degrees. The distinct sites, in fractional coordinates, are Th at (0.1514, 0.2500, 0.3905), Th at (0.2186, 0.7500, 0.0071), Sn at (0.4555, 0.7500, 0.7074), Ru at (0.2037, 0.2500, 0.7242) and C at (0.0148, 0.7500, 0.1755).

The calculated formation energy is -0.426 eV/atom.

3.
First-principles (PBE-GGA) data for a relaxed structure of Y2SnRuC, as listed in Alexandria.

The space group is P4/mmm (No. 123) and the conventional cell measures 5.0125, 5.0125 and 3.9867 Å, with angles of 90.00, 90.00 and 90.00 degrees. The distinct sites, in fractional coordinates, are Y at (0.0000, 0.5000, 0.0000), Sn at (0.0000, 0.0000, 0.5000), Ru at (0.5000, 0.5000, 0.5000) and C at (0.5000, 0.5000, 0.0000).

The calculated formation energy is -0.482 eV/atom.

4.
First-principles (PBE-GGA) data for a relaxed structure of Sr2RuC2, as listed in Alexandria.

The space group is Ibam (No. 72) and the conventional cell measures 8.7076, 10.0141 and 5.2195 Å, with angles of 90.00, 90.00 and 90.00 degrees. The distinct sites, in fractional coordinates, are Sr at (0.1898, 0.1354, 0.0000), Ru at (0.0000, 0.5000, 0.2500) and C at (0.1322, 0.4020, 0.0000).

The calculated formation energy is 0.279 eV/atom.

5.
First-principles (PBE-GGA) data for a relaxed structure of SrRuC2, as listed in Alexandria.

The space group is Fm-3m (No. 225) and the conventional cell measures 5.9039, 5.9039 and 5.9039 Å, with angles of 90.00, 90.00 and 90.00 degrees. The distinct sites, in fractional coordinates, are Sr at (0.0000, 0.0000, 0.0000), Ru at (0.0000, 0.0000, 0.5000) and C at (0.2500, 0.2500, 0.2500).

The calculated formation energy is 1.640 eV/atom.

6.
First-principles (PBE-GGA) data for a relaxed structure of SrRuC3, as listed in Alexandria.

The space group is Pm-3m (No. 221) and the conventional cell measures 4.0642, 4.0642 and 4.0642 Å, with angles of 90.00, 90.00 and 90.00 degrees. The distinct sites, in fractional coordinates, are Sr at (0.0000, 0.0000, 0.0000), Ru at (0.5000, 0.5000, 0.5000) and C at (0.0000, 0.5000, 0.5000).

The calculated formation energy is 1.294 eV/atom.

7.
First-principles (PBE-GGA) data for a relaxed structure of SrRuC3, as listed in Alexandria.

The space group is Pm-3m (No. 221) and the conventional cell measures 4.3146, 4.3146 and 4.3146 Å, with angles of 90.00, 90.00 and 90.00 degrees. The distinct sites, in fractional coordinates, are Sr at (0.0000, 0.0000, 0.0000), Ru at (0.5000, 0.5000, 0.5000) and C at (0.0000, 0.0000, 0.5000).

The calculated formation energy is 4.029 eV/atom.

8.
First-principles (PBE-GGA) data for a relaxed structure of SrRuC2, as listed in Alexandria.

The space group is Cc (No. 9) and the conventional cell measures 6.0495, 5.8141 and 7.2645 Å, with angles of 90.00, 102.35 and 90.00 degrees. The distinct sites, in fractional coordinates, are Sr at (0.0000, 0.0687, 0.0000), Ru at (0.4511, 0.0582, 0.8058), C at (0.0663, 0.4096, 0.5821) and C at (0.2011, 0.3007, 0.7333).

The calculated formation energy is 0.148 eV/atom.

9.
First-principles (PBE-GGA) data for a relaxed structure of SrRuC2, as listed in Alexandria.

The space group is I4_1/amd (No. 141, origin choice 2) and the conventional cell measures 4.8724, 4.8724 and 11.6940 Å, with angles of 90.00, 90.00 and 90.00 degrees. The distinct sites, in fractional coordinates, are Sr at (0.0000, 0.2500, 0.3750), Ru at (0.0000, 0.2500, 0.8750) and C at (0.0000, 0.0000, 0.0000).

The calculated formation energy is 0.409 eV/atom.

10.
First-principles (PBE-GGA) data for a relaxed structure of Sr2RuC, as listed in Alexandria.

The space group is I-42d (No. 122) and the conventional cell measures 10.7174, 10.7174 and 3.9225 Å, with angles of 90.00, 90.00 and 90.00 degrees. The distinct sites, in fractional coordinates, are Sr at (0.0524, 0.2500, 0.1250), Ru at (0.0000, 0.0000, 0.5000) and C at (0.0000, 0.0000, 0.0000).

The calculated formation energy is 0.148 eV/atom.

11.
First-principles (PBE-GGA) data for a relaxed structure of Sr2ZnRuC, as listed in Alexandria.

The space group is P4/mmm (No. 123) and the conventional cell measures 5.5026, 5.5026 and 3.9038 Å, with angles of 90.00, 90.00 and 90.00 degrees. The distinct sites, in fractional coordinates, are Sr at (0.0000, 0.5000, 0.0000), Zn at (0.0000, 0.0000, 0.5000), Ru at (0.5000, 0.5000, 0.5000) and C at (0.5000, 0.5000, 0.0000).

The calculated formation energy is 0.073 eV/atom.

12.
First-principles (PBE-GGA) data for a relaxed structure of SrZn2Ru2C, as listed in Alexandria.

The space group is P4/mmm (No. 123) and the conventional cell measures 4.1208, 4.1208 and 5.8062 Å, with angles of 90.00, 90.00 and 90.00 degrees. The distinct sites, in fractional coordinates, are Sr at (0.0000, 0.0000, 0.0000), Zn at (0.5000, 0.5000, 0.2243), Ru at (0.0000, 0.5000, 0.5000) and C at (0.0000, 0.0000, 0.5000).

The calculated formation energy is -0.126 eV/atom.

13.
First-principles (PBE-GGA) data for a relaxed structure of TaRuC3, as listed in Alexandria.

The space group is Pm-3m (No. 221) and the conventional cell measures 3.8959, 3.8959 and 3.8959 Å, with angles of 90.00, 90.00 and 90.00 degrees. The distinct sites, in fractional coordinates, are Ta at (0.0000, 0.0000, 0.0000), Ru at (0.5000, 0.5000, 0.5000) and C at (0.0000, 0.5000, 0.5000).

The calculated formation energy is 2.057 eV/atom.

14.
First-principles (PBE-GGA) data for a relaxed structure of Ta3RuC, as listed in Alexandria.

The space group is Pm-3m (No. 221) and the conventional cell measures 4.7569, 4.7569 and 4.7569 Å, with angles of 90.00, 90.00 and 90.00 degrees. The distinct sites, in fractional coordinates, are Ta at (0.0000, 0.0000, 0.5000), Ru at (0.0000, 0.0000, 0.0000) and C at (0.5000, 0.5000, 0.5000).

The calculated formation energy is 2.278 eV/atom.

15.
First-principles (PBE-GGA) data for a relaxed structure of TaRu2C2, as listed in Alexandria.

The space group is I4/mmm (No. 139) and the conventional cell measures 3.7536, 3.7536 and 8.0512 Å, with angles of 90.00, 90.00 and 90.00 degrees. The distinct sites, in fractional coordinates, are Ta at (0.0000, 0.0000, 0.0000), Ru at (0.0000, 0.5000, 0.2500) and C at (0.0000, 0.0000, 0.4059).

The calculated formation energy is 0.508 eV/atom.

16.
First-principles (PBE-GGA) data for a relaxed structure of TaRuC2, as listed in Alexandria.

The space group is Fm-3m (No. 225) and the conventional cell measures 5.4732, 5.4732 and 5.4732 Å, with angles of 90.00, 90.00 and 90.00 degrees. The distinct sites, in fractional coordinates, are Ta at (0.0000, 0.0000, 0.0000), Ru at (0.0000, 0.0000, 0.5000) and C at (0.2500, 0.2500, 0.2500).

The calculated formation energy is 0.770 eV/atom.

17.
First-principles (PBE-GGA) data for a relaxed structure of TaRuC2, as listed in Alexandria.

The space group is I-42d (No. 122) and the conventional cell measures 4.6400, 4.6400 and 9.7015 Å, with angles of 90.00, 90.00 and 90.00 degrees. The distinct sites, in fractional coordinates, are Ta at (0.0000, 0.0000, 0.0000), Ru at (0.0000, 0.0000, 0.5000) and C at (0.2286, 0.2500, 0.6250).

The calculated formation energy is 0.358 eV/atom.

18.
First-principles (PBE-GGA) data for a relaxed structure of TaRu2C, as listed in Alexandria.

The space group is I-42d (No. 122) and the conventional cell measures 6.6993, 6.6993 and 4.8635 Å, with angles of 90.00, 90.00 and 90.00 degrees. The distinct sites, in fractional coordinates, are Ta at (0.0000, 0.0000, 0.0000), Ru at (0.1378, 0.2500, 0.6250) and C at (0.0000, 0.0000, 0.5000).

The calculated formation energy is 0.116 eV/atom.

19.
First-principles (PBE-GGA) data for a relaxed structure of TaRuC3, as listed in Alexandria.

The space group is Pm-3m (No. 221) and the conventional cell measures 4.0944, 4.0944 and 4.0944 Å, with angles of 90.00, 90.00 and 90.00 degrees. The distinct sites, in fractional coordinates, are Ta at (0.0000, 0.0000, 0.0000), Ru at (0.5000, 0.5000, 0.5000) and C at (0.0000, 0.0000, 0.5000).

The calculated formation energy is 2.292 eV/atom.

20.
First-principles (PBE-GGA) data for a relaxed structure of Ta3RuC, as listed in Alexandria.

The space group is Pm-3m (No. 221) and the conventional cell measures 4.2566, 4.2566 and 4.2566 Å, with angles of 90.00, 90.00 and 90.00 degrees. The distinct sites, in fractional coordinates, are Ta at (0.0000, 0.0000, 0.5000), Ru at (0.5000, 0.5000, 0.5000) and C at (0.0000, 0.0000, 0.0000).

The calculated formation energy is -0.166 eV/atom.